Record 1
A plane-wave DFT calculation with PBE was carried out for SrGa2AsO6 after structural relaxation.

Geometry as CIF:
```
data_SrGa2AsO6
_space_group_name_H-M_alt 'C 1 2/c 1'
_space_group_IT_number 15
_space_group_name_Hall '-C 2yc'
_cell_length_a 11.330
_cell_length_b 8.913
_cell_length_c 6.507
_cell_angle_alpha 90.00
_cell_angle_beta 117.15
_cell_angle_gamma 90.00
loop_
_atom_site_label
_atom_site_type_symbol
_atom_site_fract_x
_atom_site_fract_y
_atom_site_fract_z
Sr1 Sr 0.000 0.173 0.250
Ga1 Ga 0.217 0.434 0.174
As1 As 0.000 0.228 0.750
O1 O 0.095 0.098 0.673
O2 O 0.131 0.250 0.057
O3 O 0.179 0.438 0.427
```

Results
* raw formation energy: -1.804 eV per atom
* density: 4.52 Mg/m³
* final energy: -6.017 eV/atom
* total moment: 0.99 μB/f.u.



Record 2
A plane-wave DFT calculation with PBE was carried out for Sr2GaAsO6 after structural relaxation.

Geometry as CIF:
```
data_Sr2GaAsO6
_space_group_name_H-M_alt 'R -3 m'
_space_group_IT_number 166
_space_group_name_Hall '-R 3 2"'
_cell_length_a 5.5286
_cell_length_b 5.5286
_cell_length_c 28.1522
_cell_angle_alpha 90.00
_cell_angle_beta 90.00
_cell_angle_gamma 120.00
loop_
_atom_site_label
_atom_site_type_symbol
_atom_site_fract_x
_atom_site_fract_y
_atom_site_fract_z
Sr1 Sr 0.0000 0.0000 0.1219
Sr2 Sr 0.0000 0.0000 0.2866
Ga1 Ga 0.0000 0.0000 0.0000
Ga2 Ga 0.0000 0.0000 0.5000
As1 As 0.0000 0.0000 0.4092
O1 O 0.0077 0.5039 0.2924
O2 O 0.0250 0.5125 0.1189
```

Results
* raw formation energy: -2.095 eV per atom
* density: 5.56 Mg/m³
* final energy: -6.174 eV/atom
* total moment: 0.00 μB/f.u.



Record 3
A plane-wave DFT calculation with PBE was carried out for TbGaAs2O8 after structural relaxation.

Geometry as CIF:
```
data_TbGaAs2O8
_space_group_name_H-M_alt 'I -4 m 2'
_space_group_IT_number 119
_space_group_name_Hall 'I -4 -2'
_cell_length_a 6.991
_cell_length_b 6.991
_cell_length_c 6.188
_cell_angle_alpha 90.00
_cell_angle_beta 90.00
_cell_angle_gamma 90.00
loop_
_atom_site_label
_atom_site_type_symbol
_atom_site_fract_x
_atom_site_fract_y
_atom_site_fract_z
Tb1 Tb 0.000 0.000 0.000
Ga1 Ga 0.000 0.500 0.250
As1 As 0.000 0.000 0.500
As2 As 0.000 0.500 0.750
O1 O 0.000 0.189 0.319
O2 O 0.000 0.323 0.942
```

Results
* raw formation energy: -1.758 eV per atom
* density: 5.56 Mg/m³
* final energy: -6.476 eV/atom
* total moment: 0.00 μB/f.u.



Record 4
A plane-wave DFT calculation with PBE was carried out for Tl2Ga2AsO6 after structural relaxation.

Geometry as CIF:
```
data_Tl2Ga2AsO6
_space_group_name_H-M_alt 'C 1 2/m 1'
_space_group_IT_number 12
_space_group_name_Hall '-C 2y'
_cell_length_a 9.966
_cell_length_b 5.787
_cell_length_c 6.455
_cell_angle_alpha 90.00
_cell_angle_beta 120.60
_cell_angle_gamma 90.00
loop_
_atom_site_label
_atom_site_type_symbol
_atom_site_fract_x
_atom_site_fract_y
_atom_site_fract_z
Tl1 Tl 0.201 0.000 0.110
Ga1 Ga 0.125 0.500 0.380
As1 As 0.000 0.000 0.500
O1 O 0.007 0.230 0.289
O2 O 0.223 0.000 0.708
```

Results
* raw formation energy: -1.071 eV per atom
* density: 7.45 Mg/m³
* final energy: -5.179 eV/atom
* total moment: 0.00 μB/f.u.



Record 5
A plane-wave DFT calculation with PBE was carried out for Tl2GaAsO after structural relaxation.

Geometry as CIF:
```
data_Tl2GaAsO
_space_group_name_H-M_alt 'P 4/m m m'
_space_group_IT_number 123
_space_group_name_Hall '-P 4 2'
_cell_length_a 5.821
_cell_length_b 5.821
_cell_length_c 3.633
_cell_angle_alpha 90.00
_cell_angle_beta 90.00
_cell_angle_gamma 90.00
loop_
_atom_site_label
_atom_site_type_symbol
_atom_site_fract_x
_atom_site_fract_y
_atom_site_fract_z
Tl1 Tl 0.000 0.500 0.000
Ga1 Ga 0.000 0.000 0.000
As1 As 0.500 0.500 0.500
O1 O 0.000 0.000 0.500
```

Results
* raw formation energy: -0.063 eV per atom
* density: 7.68 Mg/m³
* final energy: -3.537 eV/atom
* total moment: 0.00 μB/f.u.



Record 6
A plane-wave DFT calculation with PBE was carried out for TlGaAs2O8 after structural relaxation.

Geometry as CIF:
```
data_TlGaAs2O8
_space_group_name_H-M_alt 'R -3'
_space_group_IT_number 148
_space_group_name_Hall '-R 3'
_cell_length_a 4.9133
_cell_length_b 4.9133
_cell_length_c 21.8077
_cell_angle_alpha 90.00
_cell_angle_beta 90.00
_cell_angle_gamma 120.00
loop_
_atom_site_label
_atom_site_type_symbol
_atom_site_fract_x
_atom_site_fract_y
_atom_site_fract_z
Tl1 Tl 0.0000 0.0000 0.0000
Ga1 Ga 0.0000 0.0000 0.5000
As1 As 0.0000 0.0000 0.2412
O1 O 0.0000 0.0000 0.3214
O2 O 0.0008 0.6758 0.5547
```

Results
* raw formation energy: -1.017 eV per atom
* density: 6.03 Mg/m³
* final energy: -5.547 eV/atom
* total moment: 0.34 μB/f.u.



Record 7
A plane-wave DFT calculation with PBE was carried out for TlGa2AsO6 after structural relaxation.

Geometry as CIF:
```
data_TlGa2AsO6
_space_group_name_H-M_alt 'C 1 2/c 1'
_space_group_IT_number 15
_space_group_name_Hall '-C 2yc'
_cell_length_a 10.478
_cell_length_b 9.068
_cell_length_c 6.047
_cell_angle_alpha 90.00
_cell_angle_beta 107.89
_cell_angle_gamma 90.00
loop_
_atom_site_label
_atom_site_type_symbol
_atom_site_fract_x
_atom_site_fract_y
_atom_site_fract_z
Tl1 Tl 0.000 0.114 0.250
Ga1 Ga 0.200 0.418 0.222
As1 As 0.000 0.258 0.750
O1 O 0.102 0.108 0.667
O2 O 0.124 0.238 0.089
O3 O 0.165 0.440 0.497
```

Results
* raw formation energy: -1.310 eV per atom
* density: 6.25 Mg/m³
* final energy: -5.591 eV/atom
* total moment: 0.00 μB/f.u.



Record 8
A plane-wave DFT calculation with PBE was carried out for Tl2GaAs2O6 after structural relaxation.

Geometry as CIF:
```
data_Tl2GaAs2O6
_space_group_name_H-M_alt 'C 1 2/m 1'
_space_group_IT_number 12
_space_group_name_Hall '-C 2y'
_cell_length_a 9.153
_cell_length_b 5.675
_cell_length_c 7.221
_cell_angle_alpha 90.00
_cell_angle_beta 111.28
_cell_angle_gamma 90.00
loop_
_atom_site_label
_atom_site_type_symbol
_atom_site_fract_x
_atom_site_fract_y
_atom_site_fract_z
Tl1 Tl 0.204 0.000 0.154
Ga1 Ga 0.000 0.000 0.500
As1 As 0.086 0.500 0.265
O1 O 0.028 0.257 0.704
O2 O 0.232 0.000 0.537
```

Results
* raw formation energy: -1.085 eV per atom
* density: 6.88 Mg/m³
* final energy: -5.340 eV/atom
* total moment: 0.00 μB/f.u.



Record 9
A plane-wave DFT calculation with PBE was carried out for Zn2GaAsO6 after structural relaxation.

Geometry as CIF:
```
data_Zn2GaAsO6
_space_group_name_H-M_alt 'C 1 2/c 1'
_space_group_IT_number 15
_space_group_name_Hall '-C 2yc'
_cell_length_a 9.660
_cell_length_b 8.823
_cell_length_c 5.200
_cell_angle_alpha 90.00
_cell_angle_beta 97.31
_cell_angle_gamma 90.00
loop_
_atom_site_label
_atom_site_type_symbol
_atom_site_fract_x
_atom_site_fract_y
_atom_site_fract_z
Zn1 Zn 0.184 0.097 0.295
Ga1 Ga 0.000 0.412 0.250
As1 As 0.000 0.236 0.750
O1 O 0.102 0.261 0.074
O2 O 0.107 0.410 0.622
O3 O 0.124 0.103 0.645
```

Results
* raw formation energy: -1.458 eV per atom
* density: 5.61 Mg/m³
* final energy: -5.455 eV/atom
* total moment: 0.00 μB/f.u.



Record 10
A plane-wave DFT calculation with PBE was carried out for ZnGaAs2O8 after structural relaxation.

Geometry as CIF:
```
data_ZnGaAs2O8
_space_group_name_H-M_alt 'I -4 m 2'
_space_group_IT_number 119
_space_group_name_Hall 'I -4 -2'
_cell_length_a 6.547
_cell_length_b 6.547
_cell_length_c 6.341
_cell_angle_alpha 90.00
_cell_angle_beta 90.00
_cell_angle_gamma 90.00
loop_
_atom_site_label
_atom_site_type_symbol
_atom_site_fract_x
_atom_site_fract_y
_atom_site_fract_z
Zn1 Zn 0.000 0.000 0.000
Ga1 Ga 0.000 0.500 0.250
As1 As 0.000 0.000 0.500
As2 As 0.000 0.500 0.750
O1 O 0.000 0.198 0.320
O2 O 0.000 0.309 0.937
```

Results
* raw formation energy: -1.038 eV per atom
* density: 5.05 Mg/m³
* final energy: -5.477 eV/atom
* total moment: 1.04 μB/f.u.



Record 11
A plane-wave DFT calculation with PBE was carried out for GaAs3Os after structural relaxation.

Geometry as CIF:
```
data_GaAs3Os
_space_group_name_H-M_alt 'P m -3 m'
_space_group_IT_number 221
_space_group_name_Hall '-P 4 2 3'
_cell_length_a 4.857
_cell_length_b 4.857
_cell_length_c 4.857
_cell_angle_alpha 90.00
_cell_angle_beta 90.00
_cell_angle_gamma 90.00
loop_
_atom_site_label
_atom_site_type_symbol
_atom_site_fract_x
_atom_site_fract_y
_atom_site_fract_z
Ga1 Ga 0.000 0.000 0.000
As1 As 0.000 0.500 0.500
Os1 Os 0.500 0.500 0.500
```

Results
* E_form: 0.65 eV/atom
* density: 7.03 Mg/m³
* final energy: -4.994 eV/atom
* total moment: 0.00 μB/f.u.



Record 12
A plane-wave DFT calculation with PBE was carried out for GaAsOs3 after structural relaxation.

Geometry as CIF:
```
data_GaAsOs3
_space_group_name_H-M_alt 'P m -3 m'
_space_group_IT_number 221
_space_group_name_Hall '-P 4 2 3'
_cell_length_a 4.539
_cell_length_b 4.539
_cell_length_c 4.539
_cell_angle_alpha 90.00
_cell_angle_beta 90.00
_cell_angle_gamma 90.00
loop_
_atom_site_label
_atom_site_type_symbol
_atom_site_fract_x
_atom_site_fract_y
_atom_site_fract_z
Ga1 Ga 0.000 0.000 0.000
As1 As 0.500 0.500 0.500
Os1 Os 0.000 0.000 0.500
```

Results
* E_form: 1.99 eV/atom
* density: 12.70 Mg/m³
* energy above the most stable polymorph in this dataset: 1.986 eV per formula unit
* final energy: -6.278 eV/atom
* total moment: 0.79 μB/f.u.



Record 13
A plane-wave DFT calculation with PBE was carried out for Ga3AsOs after structural relaxation.

Geometry as CIF:
```
data_Ga3AsOs
_space_group_name_H-M_alt 'P m -3 m'
_space_group_IT_number 221
_space_group_name_Hall '-P 4 2 3'
_cell_length_a 4.817
_cell_length_b 4.817
_cell_length_c 4.817
_cell_angle_alpha 90.00
_cell_angle_beta 90.00
_cell_angle_gamma 90.00
loop_
_atom_site_label
_atom_site_type_symbol
_atom_site_fract_x
_atom_site_fract_y
_atom_site_fract_z
Ga1 Ga 0.000 0.000 0.500
As1 As 0.000 0.000 0.000
Os1 Os 0.500 0.500 0.500
```

Results
* E_form: 1.31 eV/atom
* density: 7.05 Mg/m³
* energy above the most stable polymorph in this dataset: 4.551 eV per formula unit
* final energy: -3.686 eV/atom
* total moment: 1.84 μB/f.u.



Record 14
A plane-wave DFT calculation with PBE was carried out for Ga3AsOs after structural relaxation.

Geometry as CIF:
```
data_Ga3AsOs
_space_group_name_H-M_alt 'P m -3 m'
_space_group_IT_number 221
_space_group_name_Hall '-P 4 2 3'
_cell_length_a 4.837
_cell_length_b 4.837
_cell_length_c 4.837
_cell_angle_alpha 90.00
_cell_angle_beta 90.00
_cell_angle_gamma 90.00
loop_
_atom_site_label
_atom_site_type_symbol
_atom_site_fract_x
_atom_site_fract_y
_atom_site_fract_z
Ga1 Ga 0.000 0.000 0.500
As1 As 0.500 0.500 0.500
Os1 Os 0.000 0.000 0.000
```

Results
* E_form: 0.40 eV/atom
* density: 6.96 Mg/m³
* energy above the most stable polymorph in this dataset: 0.000 eV per formula unit
* final energy: -4.597 eV/atom
* total moment: 1.99 μB/f.u.



Record 15
A plane-wave DFT calculation with PBE was carried out for GaAsOs3 after structural relaxation.

Geometry as CIF:
```
data_GaAsOs3
_space_group_name_H-M_alt 'P m -3 m'
_space_group_IT_number 221
_space_group_name_Hall '-P 4 2 3'
_cell_length_a 4.519
_cell_length_b 4.519
_cell_length_c 4.519
_cell_angle_alpha 90.00
_cell_angle_beta 90.00
_cell_angle_gamma 90.00
loop_
_atom_site_label
_atom_site_type_symbol
_atom_site_fract_x
_atom_site_fract_y
_atom_site_fract_z
Ga1 Ga 0.000 0.000 0.000
As1 As 0.500 0.500 0.500
Os1 Os 0.000 0.500 0.500
```

Results
* E_form: 1.60 eV/atom
* density: 12.87 Mg/m³
* energy above the most stable polymorph in this dataset: 0.000 eV per formula unit
* final energy: -6.675 eV/atom
* total moment: 0.00 μB/f.u.



Record 16
A plane-wave DFT calculation with PBE was carried out for Ga2AsOsPb after structural relaxation.

Geometry as CIF:
```
data_Ga2AsOsPb
_space_group_name_H-M_alt 'P 4/m m m'
_space_group_IT_number 123
_space_group_name_Hall '-P 4 2'
_cell_length_a 5.273
_cell_length_b 5.273
_cell_length_c 5.422
_cell_angle_alpha 90.00
_cell_angle_beta 90.00
_cell_angle_gamma 90.00
loop_
_atom_site_label
_atom_site_type_symbol
_atom_site_fract_x
_atom_site_fract_y
_atom_site_fract_z
Ga1 Ga 0.000 0.500 0.000
As1 As 0.000 0.000 0.500
Os1 Os 0.500 0.500 0.500
Pb1 Pb 0.000 0.000 0.000
```

Results
* E_form: 1.87 eV/atom
* density: 6.74 Mg/m³
* final energy: -3.259 eV/atom
* total moment: 2.78 μB/f.u.



Record 17
A plane-wave DFT calculation with PBE was carried out for RbGaAsOs2 after structural relaxation.

Geometry as CIF:
```
data_RbGaAsOs2
_space_group_name_H-M_alt 'P 4/m m m'
_space_group_IT_number 123
_space_group_name_Hall '-P 4 2'
_cell_length_a 4.686
_cell_length_b 4.686
_cell_length_c 5.457
_cell_angle_alpha 90.00
_cell_angle_beta 90.00
_cell_angle_gamma 90.00
loop_
_atom_site_label
_atom_site_type_symbol
_atom_site_fract_x
_atom_site_fract_y
_atom_site_fract_z
Rb1 Rb 0.000 0.000 0.000
Ga1 Ga 0.000 0.000 0.500
As1 As 0.500 0.500 0.000
Os1 Os 0.000 0.500 0.500
```

Results
* E_form: 1.80 eV/atom
* density: 8.46 Mg/m³
* final energy: -4.416 eV/atom
* total moment: 1.42 μB/f.u.



Record 18
A plane-wave DFT calculation with PBE was carried out for GaAsOsRh2 after structural relaxation.

Geometry as CIF:
```
data_GaAsOsRh2
_space_group_name_H-M_alt 'P 4/m m m'
_space_group_IT_number 123
_space_group_name_Hall '-P 4 2'
_cell_length_a 4.731
_cell_length_b 4.731
_cell_length_c 4.729
_cell_angle_alpha 90.00
_cell_angle_beta 90.00
_cell_angle_gamma 90.00
loop_
_atom_site_label
_atom_site_type_symbol
_atom_site_fract_x
_atom_site_fract_y
_atom_site_fract_z
Ga1 Ga 0.000 0.000 0.000
As1 As 0.500 0.500 0.000
Os1 Os 0.000 0.000 0.500
Rh1 Rh 0.000 0.500 0.500
```

Results
* E_form: 1.07 eV/atom
* density: 8.48 Mg/m³
* final energy: -5.654 eV/atom
* total moment: 0.00 μB/f.u.



Record 19
A plane-wave DFT calculation with PBE was carried out for GaAs2OsRu after structural relaxation.

Geometry as CIF:
```
data_GaAs2OsRu
_space_group_name_H-M_alt 'P 4/m m m'
_space_group_IT_number 123
_space_group_name_Hall '-P 4 2'
_cell_length_a 4.678
_cell_length_b 4.678
_cell_length_c 4.520
_cell_angle_alpha 90.00
_cell_angle_beta 90.00
_cell_angle_gamma 90.00
loop_
_atom_site_label
_atom_site_type_symbol
_atom_site_fract_x
_atom_site_fract_y
_atom_site_fract_z
Ga1 Ga 0.000 0.000 0.000
As1 As 0.000 0.500 0.000
Os1 Os 0.000 0.000 0.500
Ru1 Ru 0.500 0.500 0.500
```

Results
* E_form: 1.68 eV/atom
* density: 8.58 Mg/m³
* final energy: -4.886 eV/atom
* total moment: 2.14 μB/f.u.



Record 20
A plane-wave DFT calculation with PBE was carried out for GaAs2OsS after structural relaxation.

Geometry as CIF:
```
data_GaAs2OsS
_space_group_name_H-M_alt 'P 4/m m m'
_space_group_IT_number 123
_space_group_name_Hall '-P 4 2'
_cell_length_a 4.719
_cell_length_b 4.719
_cell_length_c 4.878
_cell_angle_alpha 90.00
_cell_angle_beta 90.00
_cell_angle_gamma 90.00
loop_
_atom_site_label
_atom_site_type_symbol
_atom_site_fract_x
_atom_site_fract_y
_atom_site_fract_z
Ga1 Ga 0.000 0.000 0.000
As1 As 0.000 0.500 0.500
Os1 Os 0.000 0.000 0.500
S1 S 0.500 0.500 0.000
```

Results
* raw formation energy: 0.385 eV per atom
* density: 6.75 Mg/m³
* final energy: -5.151 eV/atom
* total moment: 0.00 μB/f.u.